The following is a DFT calculation (PBE) of a relaxed structure of CrPbSe.

The structure in POSCAR format:
```
CrPbSe
1.0
-6.311 1.188 0.211
-5.325 -3.588 0.345
5.919 1.289 2.158
Cr Pb Se
1 1 1
Direct
0.038 0.039 0.000
0.351 0.352 0.000
0.610 0.610 0.000
```

Fermi-level density of states   0.501 states/eV/atom
Calculated density   7.9 g cm⁻³
Magnetic moment   3.62 Bohr magnetons per cell
Raw formation energy   -0.125 eV per formula unit